First-principles (PBE) data for a relaxed structure of NaDy2YS4, as listed in Alexandria via LeMat-Bulk.

Unit cell a=6.824 b=3.911 c=6.825 alpha=90.00 beta=109.11 gamma=90.00
Fractional positions:
Na (0.000, 0.000, 0.000)
Dy (0.500, 0.000, 0.500)
Dy (0.500, 0.500, 0.000)
Y (0.000, 0.500, 0.500)
S (0.252, 0.000, 0.750)
S (0.256, 0.500, 0.255)
S (0.744, 0.500, 0.745)
S (0.748, 0.000, 0.250)

Values from the calculation:
Size of the total moment (μB/f.u.): 0.00
Calculated total energy (eV/atom): -6.11
E_form (uncorrected) (kJ/mol of formula units): -1483
Symmetry: No. 10

***

First-principles (PBE) data for a relaxed structure of NaDy4YS8, as listed in Alexandria via LeMat-Bulk.

Unit cell a=8.102 b=8.102 c=8.102 alpha=59.96 beta=59.96 gamma=59.96
Fractional positions:
Na (0.000, 0.000, 0.000)
Dy (0.112, 0.630, 0.630)
Dy (0.250, 0.250, 0.250)
Dy (0.630, 0.112, 0.630)
Dy (0.630, 0.630, 0.112)
Y (0.630, 0.630, 0.630)
S (0.383, 0.383, 0.383)
S (0.383, 0.383, 0.851)
S (0.383, 0.851, 0.383)
S (0.408, 0.865, 0.865)
S (0.851, 0.383, 0.383)
S (0.864, 0.864, 0.864)
S (0.865, 0.408, 0.865)
S (0.865, 0.865, 0.408)

Values from the calculation:
Size of the total moment (μB/f.u.): 0.00
Calculated total energy (eV/atom): -6.19
E_form (uncorrected) (kJ/mol of formula units): -2649
Symmetry: No. 160

***

First-principles (PBE) data for a relaxed structure of Na4Dy3YS8, as listed in Alexandria via LeMat-Bulk.

Unit cell a=8.113 b=8.113 c=8.113 alpha=58.85 beta=58.85 gamma=58.85
Fractional positions:
Na (0.000, 0.000, 0.000)
Na (0.000, 0.500, 0.500)
Na (0.500, 0.000, 0.500)
Na (0.500, 0.500, 0.000)
Dy (0.000, 0.000, 0.500)
Dy (0.000, 0.500, 0.000)
Dy (0.500, 0.000, 0.000)
Y (0.500, 0.500, 0.500)
S (0.242, 0.242, 0.242)
S (0.242, 0.742, 0.742)
S (0.258, 0.258, 0.758)
S (0.258, 0.758, 0.258)
S (0.742, 0.242, 0.742)
S (0.742, 0.742, 0.242)
S (0.758, 0.258, 0.258)
S (0.758, 0.758, 0.758)

Values from the calculation:
Size of the total moment (μB/f.u.): 0.00
Calculated total energy (eV/atom): -5.51
E_form (uncorrected) (kJ/mol of formula units): -2857
Symmetry: No. 166

***

First-principles (PBE) data for a relaxed structure of Na4DyZr3S8, as listed in Alexandria via LeMat-Bulk.

Unit cell a=8.062 b=8.062 c=8.062 alpha=55.59 beta=55.59 gamma=55.59
Fractional positions:
Na (0.000, 0.000, 0.000)
Na (0.000, 0.500, 0.500)
Na (0.500, 0.000, 0.500)
Na (0.500, 0.500, 0.000)
Dy (0.500, 0.500, 0.500)
Zr (0.000, 0.000, 0.500)
Zr (0.000, 0.500, 0.000)
Zr (0.500, 0.000, 0.000)
S (0.233, 0.747, 0.747)
S (0.241, 0.241, 0.241)
S (0.253, 0.253, 0.767)
S (0.253, 0.767, 0.253)
S (0.747, 0.233, 0.747)
S (0.747, 0.747, 0.233)
S (0.759, 0.759, 0.759)
S (0.767, 0.253, 0.253)

Values from the calculation:
Size of the total moment (μB/f.u.): 0.00
Calculated total energy (eV/atom): -5.84
E_form (uncorrected) (kJ/mol of formula units): -2405
Symmetry: No. 166